Material: Cd2FeGeO4
Method: DFT, PBE with a Hubbard U
State: relaxed

Cell and atoms, written as POSCAR:
```
Cd2FeGeO4
1.0
-4.728 0.730 -2.306
-2.487 -3.649 3.696
2.543 4.199 1.739
O Cd Fe Ge
4 2 1 1
direct
0.886 0.454 0.287
0.738 0.755 0.822
0.968 0.055 0.629
0.369 0.633 0.092
0.491 0.037 0.069
0.269 0.265 0.502
0.934 0.458 0.909
0.732 0.730 0.463
```

- V (Å³/f.u.) = 116
- VASP energy (eV per formula unit) = -41.04

=====

Material: Cd3Fe2Ge3O12
Method: DFT, PBE with a Hubbard U
State: relaxed

Cell and atoms, written as POSCAR:
```
Cd3Fe2Ge3O12
1.0
10.797 0.000 0.000
-3.599 10.179 0.000
-3.599 -5.090 8.816
O Cd Ge Fe
48 12 12 8
direct
0.103 0.620 0.418
0.517 0.620 0.702
0.582 0.897 0.380
0.120 0.603 0.918
0.380 0.298 0.483
0.918 0.298 0.315
0.315 0.918 0.298
0.603 0.185 0.483
0.120 0.017 0.202
0.815 0.517 0.397
0.620 0.418 0.103
0.918 0.120 0.603
0.517 0.397 0.815
0.798 0.880 0.983
0.702 0.517 0.620
0.418 0.815 0.798
0.582 0.185 0.202
0.880 0.983 0.798
0.685 0.103 0.983
0.897 0.380 0.582
0.418 0.103 0.620
0.983 0.685 0.103
0.082 0.880 0.397
0.082 0.702 0.685
0.897 0.017 0.315
0.880 0.397 0.082
0.315 0.897 0.017
0.185 0.483 0.603
0.298 0.315 0.918
0.202 0.582 0.185
0.603 0.918 0.120
0.798 0.418 0.815
0.017 0.315 0.897
0.620 0.702 0.517
0.397 0.082 0.880
0.298 0.483 0.380
0.983 0.798 0.880
0.017 0.202 0.120
0.103 0.983 0.685
0.702 0.685 0.082
0.685 0.082 0.702
0.483 0.603 0.185
0.380 0.582 0.897
0.483 0.380 0.298
0.202 0.120 0.017
0.185 0.202 0.582
0.815 0.798 0.418
0.397 0.815 0.517
0.625 0.250 0.875
0.875 0.625 0.250
0.125 0.375 0.750
0.750 0.125 0.375
0.875 0.750 0.625
0.375 0.750 0.125
0.250 0.375 0.125
0.125 0.250 0.375
0.750 0.625 0.875
0.250 0.875 0.625
0.375 0.125 0.250
0.625 0.875 0.750
0.375 0.625 0.750
0.125 0.875 0.250
0.750 0.375 0.625
0.125 0.750 0.875
0.250 0.625 0.375
0.750 0.875 0.125
0.625 0.750 0.375
0.375 0.250 0.625
0.875 0.250 0.125
0.875 0.125 0.750
0.625 0.375 0.250
0.250 0.125 0.875
0.000 0.000 0.000
0.000 0.000 0.500
0.000 0.500 0.500
0.500 0.500 0.000
0.500 0.000 0.500
0.500 0.500 0.500
0.000 0.500 0.000
0.500 0.000 0.000
```

- V (Å³/f.u.) = 242
- VASP energy (eV per formula unit) = -117.04

=====

Material: CdFeGeO4
Method: DFT, PBE with a Hubbard U
State: relaxed

Cell and atoms, written as POSCAR:
```
CdFeGeO4
1.0
6.274 0.000 0.000
3.137 5.348 0.083
3.137 1.709 5.069
O Ge Fe Cd
8 2 2 2
direct
0.266 0.755 0.255
0.735 0.758 0.772
0.275 0.245 0.745
0.725 0.755 0.255
0.265 0.728 0.742
0.265 0.242 0.228
0.735 0.272 0.258
0.734 0.245 0.745
0.619 0.631 0.131
0.381 0.369 0.869
0.500 0.000 0.500
0.000 0.000 0.500
0.000 0.500 0.500
0.000 0.000 0.000
```

- V (Å³/f.u.) = 85
- VASP energy (eV per formula unit) = -40.85